Entry P
Density functional theory data (GGA-PBE) for a relaxed structure of Sb2IrPdI.

Computed properties:
calculated density: 7.64 Mg/m³
space group: P4/mmm
total magnetization: 0.00 μB per formula unit

Cell lengths 5.0585, 5.0585, 5.6806 Å; angles 90.00, 90.00, 90.00 degrees
Last column: nearest neighbours and their distance in Å.
Fractional coordinates of all 5 atoms:
I 0.0000 0.0000 0.5000  2 Ir 2.84
Sb 0.0000 0.5000 0.0000  2 Ir 2.53
Sb 0.5000 0.0000 0.0000  2 Ir 2.53
Ir 0.0000 0.0000 0.0000  4 Sb 2.53
Pd 0.5000 0.5000 0.5000  4 I 3.58, 8 Sb 3.80

---

Entry Q
Density functional theory data (GGA-PBE) for a relaxed structure of Sb2IrPdI.

Computed properties:
calculated density: 8.04 Mg/m³
space group: P4/mmm
total magnetization: 0.87 μB per formula unit

Cell lengths 5.1138, 5.1138, 5.2839 Å; angles 90.00, 90.00, 90.00 degrees
Last column: nearest neighbours and their distance in Å.
Fractional coordinates of all 5 atoms:
I 0.0000 0.0000 0.5000  2 Pd 2.64
Sb 0.0000 0.5000 0.0000  2 Pd 2.56
Sb 0.5000 0.0000 0.0000  2 Pd 2.56
Ir 0.5000 0.5000 0.5000  4 I 3.62, 8 Sb 3.68
Pd 0.0000 0.0000 0.0000  4 Sb 2.56, 2 I 2.64

---

Tell me which of them is the least stable. Sure, it is entry Q.

---

Entry P
Density functional theory data (GGA-PBE) for a relaxed structure of Pm2IrI.

Computed properties:
calculated density: 9.33 Mg/m³
space group: P4/mmm
total magnetization: 0.00 μB per formula unit

Cell lengths 3.5691, 3.5691, 8.5095 Å; angles 90.00, 90.00, 90.00 degrees
Last column: nearest neighbours and their distance in Å.
Fractional coordinates of all 4 atoms:
I 0.5000 0.5000 0.5000  4 I 3.57, 8 Pm 3.58
Ir 0.5000 0.5000 0.0000  8 Pm 3.05
Pm 0.0000 0.0000 0.7987  4 Ir 3.05
Pm 0.0000 0.0000 0.2013  4 Ir 3.05

---

Entry Q
Density functional theory data (GGA-PBE) for a relaxed structure of Pm2IrI.

Computed properties:
calculated density: 8.22 Mg/m³
space group: R-3m
total magnetization: 0.00 μB per formula unit

Cell lengths 4.1992, 4.2006, 8.4112 Å; angles 89.99, 104.45, 120.01 degrees
Last column: nearest neighbours and their distance in Å.
Fractional coordinates of all 4 atoms:
Pm 0.4782 0.9802 0.2342  3 Ir 2.84
Pm 0.5681 0.5253 0.8689  3 Ir 2.84
Ir 0.0231 0.2528 0.0515  6 Pm 2.84
I 0.0233 0.7529 0.5516  6 Pm 3.52

---

Tell me which of them is the least stable. Sure, it is entry P.

---

Entry P
Density functional theory data (GGA-PBE) for a relaxed structure of IrPtI2.

Computed properties:
calculated density: 9.54 Mg/m³
space group: I-42d
total magnetization: 0.00 μB per formula unit

Cell lengths 6.2051, 6.2051, 7.2713 Å; angles 64.74, 64.74, 90.00 degrees
Last column: nearest neighbours and their distance in Å.
Fractional coordinates of all 8 atoms:
I 0.6140 0.1250 0.2500  2 Ir 2.59, 2 Pt 2.67
I 0.1360 0.6250 0.2500  2 Ir 2.59, 2 Pt 2.67
I 0.3750 0.3860 0.7500  2 Ir 2.59, 2 Pt 2.67
I 0.8750 0.8640 0.7500  2 Ir 2.59, 2 Pt 2.67
Ir 0.5000 0.5000 0.0000  4 I 2.59
Ir 0.2500 0.7500 0.5000  4 I 2.59
Pt 0.0000 0.0000 0.0000  4 I 2.67
Pt 0.7500 0.2500 0.5000  4 I 2.67

---

Entry Q
Density functional theory data (GGA-PBE) for a relaxed structure of IrPtI2.

Computed properties:
calculated density: 12.66 Mg/m³
space group: Fm-3m
total magnetization: 0.00 μB per formula unit

Cell lengths 4.9178, 4.9178, 4.9178 Å; angles 60.00, 60.00, 60.00 degrees
Last column: nearest neighbours and their distance in Å.
Fractional coordinates of all 4 atoms:
I 0.2500 0.2500 0.2500  4 Ir 3.01, 4 Pt 3.01
I 0.7500 0.7500 0.7500  4 Ir 3.01, 4 Pt 3.01
Ir 0.0000 0.0000 0.0000  8 I 3.01
Pt 0.5000 0.5000 0.5000  8 I 3.01

---

Tell me which of them is the least stable. Sure, it is entry Q.

---

Entry P
Density functional theory data (GGA-PBE) for a relaxed structure of Ir2PtI.

Computed properties:
calculated density: 12.19 Mg/m³
space group: I-42d
total magnetization: 0.00 μB per formula unit

Cell lengths 5.3560, 5.3560, 7.7028 Å; angles 69.66, 69.66, 90.00 degrees
Last column: nearest neighbours and their distance in Å.
Fractional coordinates of all 8 atoms:
I 0.5000 0.5000 0.0000  4 Ir 2.58
I 0.2500 0.7500 0.5000  4 Ir 2.58
Ir 0.6424 0.1250 0.2500  2 Pt 2.48, 2 I 2.58
Ir 0.1076 0.6250 0.2500  2 Pt 2.48, 2 I 2.58
Ir 0.3750 0.3576 0.7500  2 Pt 2.48, 2 I 2.58
Ir 0.8750 0.8924 0.7500  2 Pt 2.48, 2 I 2.58
Pt 0.0000 0.0000 0.0000  4 Ir 2.48
Pt 0.7500 0.2500 0.5000  4 Ir 2.48

---

Entry Q
Density functional theory data (GGA-PBE) for a relaxed structure of Ir2PtI.

Computed properties:
calculated density: 17.12 Mg/m³
space group: Fm-3m
total magnetization: 0.00 μB per formula unit

Cell lengths 4.5931, 4.5931, 4.5931 Å; angles 60.00, 60.00, 60.00 degrees
Last column: nearest neighbours and their distance in Å.
Fractional coordinates of all 4 atoms:
I 0.0000 0.0000 0.0000  8 Ir 2.81
Ir 0.2500 0.2500 0.2500  4 I 2.81, 4 Pt 2.81
Ir 0.7500 0.7500 0.7500  4 I 2.81, 4 Pt 2.81
Pt 0.5000 0.5000 0.5000  8 Ir 2.81

---

Tell me which of them is the least stable. Sure, it is entry P.

---

Entry P
Density functional theory data (GGA-PBE) for a relaxed structure of RbIrI2.

Computed properties:
calculated density: 7.22 Mg/m³
space group: Fm-3m
total magnetization: 2.05 μB per formula unit

Cell lengths 5.5701, 5.5701, 5.5701 Å; angles 60.00, 60.00, 60.00 degrees
Last column: nearest neighbours and their distance in Å.
Fractional coordinates of all 4 atoms:
I 0.2500 0.2500 0.2500  4 Ir 3.41, 4 Rb 3.41
I 0.7500 0.7500 0.7500  4 Rb 3.41, 4 Ir 3.41
Ir 0.5000 0.5000 0.5000  8 I 3.41
Rb 0.0000 0.0000 0.0000  8 I 3.41

---

Entry Q
Density functional theory data (GGA-PBE) for a relaxed structure of RbIrI2.

Computed properties:
calculated density: 5.02 Mg/m³
space group: I-42d
total magnetization: 0.00 μB per formula unit

Cell lengths 7.2101, 7.2101, 8.4717 Å; angles 64.82, 64.82, 90.00 degrees
Last column: nearest neighbours and their distance in Å.
Fractional coordinates of all 8 atoms:
I 0.7471 0.1250 0.2500  2 Ir 2.64
I 0.0029 0.6250 0.2500  2 Ir 2.64
I 0.3750 0.2529 0.7500  2 Ir 2.64
I 0.8750 0.9971 0.7500  2 Ir 2.64
Ir 0.0000 0.0000 0.0000  4 I 2.64
Ir 0.7500 0.2500 0.5000  4 I 2.64
Rb 0.5000 0.5000 0.0000  4 I 3.65
Rb 0.2500 0.7500 0.5000  4 I 3.65

---

Tell me which of them is the least stable. Sure, it is entry P.

---

Entry P
Density functional theory data (GGA-PBE) for a relaxed structure of RbIr2I2.

Computed properties:
calculated density: 9.39 Mg/m³
space group: P4/mbm
total magnetization: 0.00 μB per formula unit

Cell lengths 8.8078, 8.8078, 3.2993 Å; angles 90.00, 90.00, 90.00 degrees
Last column: nearest neighbours and their distance in Å.
Fractional coordinates of all 10 atoms:
I 0.3525 0.8525 0.0000  2 Ir 2.60
I 0.8525 0.6475 0.0000  2 Ir 2.60
I 0.6475 0.1475 0.0000  2 Ir 2.60
I 0.1475 0.3525 0.0000  2 Ir 2.60
Ir 0.1908 0.6908 0.5000  2 I 2.60
Ir 0.6908 0.8092 0.5000  2 I 2.60
Ir 0.8092 0.3092 0.5000  2 I 2.60
Ir 0.3092 0.1908 0.5000  2 I 2.60
Rb 0.0000 0.0000 0.0000  2 Rb 3.30, 4 I 3.37, 8 Ir 3.60
Rb 0.5000 0.5000 0.0000  2 Rb 3.30, 4 I 3.37, 8 Ir 3.60

---

Entry Q
Density functional theory data (GGA-PBE) for a relaxed structure of RbIr2I2.

Computed properties:
calculated density: 8.95 Mg/m³
space group: I4/mmm
total magnetization: 0.00 μB per formula unit

Cell lengths 4.1745, 4.1745, 8.2547 Å; angles 75.35, 75.35, 90.00 degrees
Last column: nearest neighbours and their distance in Å.
Fractional coordinates of all 5 atoms:
I 0.3622 0.3622 0.2757  4 Ir 2.71
I 0.6378 0.6378 0.7243  4 Ir 2.71
Ir 0.7500 0.2500 0.5000  4 I 2.71, 4 Ir 2.95
Ir 0.2500 0.7500 0.5000  4 I 2.71, 4 Ir 2.95
Rb 0.0000 0.0000 0.0000  8 I 3.64

---

Tell me which of them is the least stable. Sure, it is entry P.